A geometry-optimized Mn4Te3O structure, computed with PBE with a Hubbard U.

abc: 8.7159 8.8647 9.8723
angles: 90.00 90.00 90.00
Each line ends with the local moment (μB).
Atoms (fractional coordinates):
Mn (0.1972, 0.9687, 0.5452)  4.62
Mn (0.6972, 0.5313, 0.9548)  4.62
Mn (0.8028, 0.0313, 0.0452)  4.62
Mn (0.3028, 0.4687, 0.4548)  4.62
Mn (0.8028, 0.0313, 0.4548)  4.62
Mn (0.3028, 0.4687, 0.0452)  4.62
Mn (0.1972, 0.9687, 0.9548)  4.62
Mn (0.6972, 0.5313, 0.5452)  4.62
Mn (0.2924, 0.2255, 0.7500)  4.59
Mn (0.7924, 0.2745, 0.7500)  4.59
Mn (0.7076, 0.7745, 0.2500)  4.59
Mn (0.2076, 0.7255, 0.2500)  4.59
Mn (0.4519, 0.8308, 0.7500)  4.58
Mn (0.9519, 0.6692, 0.7500)  4.58
Mn (0.5481, 0.1692, 0.2500)  4.58
Mn (0.0481, 0.3308, 0.2500)  4.58
Te (0.2567, 0.5525, 0.7500)  0.02
Te (0.7567, 0.9475, 0.7500)  0.02
Te (0.7433, 0.4475, 0.2500)  0.02
Te (0.2433, 0.0525, 0.2500)  0.02
Te (0.4746, 0.7541, 0.0374)  0.06
Te (0.9746, 0.7459, 0.4626)  0.06
Te (0.5254, 0.2459, 0.5374)  0.06
Te (0.0254, 0.2541, 0.9626)  0.06
Te (0.5254, 0.2459, 0.9626)  0.06
Te (0.0254, 0.2541, 0.5374)  0.06
Te (0.4746, 0.7541, 0.4626)  0.06
Te (0.9746, 0.7459, 0.0374)  0.06
O (0.2698, 0.9866, 0.7500)  0.12
O (0.7698, 0.5134, 0.7500)  0.12
O (0.7302, 0.0134, 0.2500)  0.12
O (0.2302, 0.4866, 0.2500)  0.12

Properties
symmetry: Pnma (62)
total DFT energy (no corrections): -194.83 eV per cell